Record 1
A plane-wave DFT calculation with PBE-GGA was carried out for a geometry-optimized CaIr3C structure.

Calculated values
Density   14.2 Mg/m³
DOS at the Fermi energy   0.61 states/eV per atom
Energy relative to the elements   0.009 eV per atom
Excess energy over the best structure of this formula in the dataset   0 meV per atom

a b c (Å): 4.1878 4.1878 4.1878
angles (deg): 90.00 90.00 90.00
Last column: nearest neighbours and their distance in Å.
Positions (direct):
C 0.0000 0.0000 0.0000  6 Ir 2.09
Ir 0.0000 0.5000 0.0000  2 C 2.09
Ir 0.0000 0.0000 0.5000  2 C 2.09
Ir 0.5000 0.0000 0.0000  2 C 2.09
Ca 0.5000 0.5000 0.5000  12 Ir 2.96

***

Record 2
A plane-wave DFT calculation with PBE-GGA was carried out for a geometry-optimized Li2CaIrC structure.

Calculated values
Density   5.7 Mg/m³
DOS at the Fermi energy   0.25 states/eV per atom
Energy relative to the elements   -0.105 eV per atom

a b c (Å): 4.3381 4.3381 3.9830
angles (deg): 90.00 90.00 90.00
Last column: nearest neighbours and their distance in Å.
Positions (direct):
C 0.0000 0.0000 0.0000  2 Ir 1.99, 4 Li 2.17
Li 0.5000 0.0000 0.0000  2 C 2.17
Li 0.0000 0.5000 0.0000  2 C 2.17
Ca 0.5000 0.5000 0.5000  8 Li 2.94, 4 Ir 3.07
Ir 0.0000 0.0000 0.5000  2 C 1.99

***

Record 3
A plane-wave DFT calculation with PBE-GGA was carried out for a geometry-optimized LiCa2IrC structure.

Calculated values
Density   4.7 Mg/m³
DOS at the Fermi energy   0.68 states/eV per atom
Energy relative to the elements   -0.204 eV per atom

a b c (Å): 5.1597 5.1597 3.8915
angles (deg): 90.00 90.00 90.00
Last column: nearest neighbours and their distance in Å.
Positions (direct):
Ca 0.0000 0.5000 0.0000  2 C 2.58
Ca 0.5000 0.0000 0.0000  2 C 2.58
Ir 0.0000 0.0000 0.5000  2 C 1.95
C 0.0000 0.0000 0.0000  2 Ir 1.95
Li 0.5000 0.5000 0.5000  8 Ca 3.23